DFT (GGA-PBE) results for a geometry-optimized MgUAs2 structure.

Summary:
As for the space group: P4/mmm (123). The crystal system is tetragonal. The value obtained for the calculated formation energy is -563 meV per atom. The value obtained for the mass density is 8.56 g cm⁻³. The value obtained for the energy above the most stable polymorph in this dataset is 0.043 eV/atom. The calculation puts the total magnetization at 1.7 μB/cell.

The structure in extended XYZ format:
```
4
Lattice="3.636 0.000 0.000 0.000 4.689 0.000 0.000 0.000 4.689" Properties=species:S:1:pos:R:3 pbc="T T T"
As 0.000 0.000 2.344
As 0.000 2.344 0.000
U 1.818 0.000 0.000
Mg 1.818 2.344 2.344
```

***

DFT (GGA-PBE) results for a geometry-optimized MgU4As5 structure.

Summary:
As for the space group: Immm (71). The crystal system is orthorhombic. The value obtained for the calculated formation energy is -658 meV per atom. The value obtained for the mass density is 9.45 g cm⁻³. The calculation puts the total magnetization at 9.5 μB/cell.

The structure in extended XYZ format:
```
10
Lattice="-0.137 -3.702 -1.623 1.597 -2.261 5.023 -10.554 2.142 1.045" Properties=species:S:1:pos:R:3 pbc="T T T"
Mg 0.000 0.000 0.000
U -7.881 -0.673 2.202
U -5.187 -3.487 3.353
U -3.908 -0.334 1.092
U -1.214 -3.148 2.243
As -1.979 -2.014 -0.278
As -5.970 -2.355 0.838
As -3.125 -1.466 3.607
As 0.798 -1.131 2.511
As -7.116 -1.807 4.723
```

***

DFT (GGA-PBE) results for a geometry-optimized MgV2As2 structure.

Summary:
As for the space group: P4/mbm (127). The crystal system is tetragonal. The value obtained for the calculated formation energy is -282 meV per atom. The value obtained for the mass density is 5.90 g cm⁻³. The value obtained for the energy above the most stable polymorph in this dataset is 0.000 eV/atom. The calculation puts the total magnetization at 0.0 μB/cell.

The structure in extended XYZ format:
```
10
Lattice="-4.991 4.421 2.131 -4.751 -3.589 -3.680 -0.558 -1.845 2.520" Properties=species:S:1:pos:R:3 pbc="T T T"
As -5.806 -1.502 -2.386
As -7.331 1.442 -0.569
As -3.936 2.334 0.836
As -2.411 -0.610 -0.981
Mg 0.000 0.000 0.000
Mg -4.871 0.416 -0.775
V -4.046 -2.598 -0.802
V -7.560 -1.157 -0.525
V -6.254 1.585 1.772
V -2.740 0.144 1.495
```